P.
A geometry-optimized SiTcPO structure. Source: the Open Quantum Materials Database, functional GGA-PBE.

POSCAR file:
```
SiTcPO
1.0
3.222 0.000 0.000
0.000 7.906 0.000
0.000 0.000 4.542
Si Tc P O
2 2 2 2
direct
0.000 0.138 0.000
0.000 0.862 0.500
0.500 0.365 0.061
0.500 0.635 0.561
0.500 0.333 0.559
0.500 0.667 0.059
0.000 0.047 0.670
0.000 0.953 0.170
```

Summary:
Magnetic moment, μB per formula unit: 0.001

---

Q.
A geometry-optimized SiTcPO structure. Source: the Open Quantum Materials Database, functional GGA-PBE.

POSCAR file:
```
SiTcPO
1.0
3.299 0.000 0.000
0.000 5.808 0.000
0.000 0.000 5.597
Si Tc P O
2 2 2 2
direct
0.000 0.168 0.000
0.000 0.832 0.500
0.500 0.439 0.416
0.500 0.561 0.916
0.000 0.222 0.599
0.000 0.778 0.099
0.500 0.228 0.100
0.500 0.772 0.600
```

Summary:
Magnetic moment, μB per formula unit: 0.000

---

R.
A geometry-optimized SiTcPO structure. Source: the Open Quantum Materials Database, functional GGA-PBE.

POSCAR file:
```
SiTcPO
1.0
3.283 0.000 0.000
0.000 3.283 0.000
0.000 0.000 9.763
Si Tc P O
2 2 2 2
direct
0.250 0.750 0.000
0.750 0.250 0.000
0.250 0.250 0.366
0.750 0.750 0.634
0.250 0.250 0.762
0.750 0.750 0.238
0.250 0.750 0.500
0.750 0.250 0.500
```

Summary:
Magnetic moment, μB per formula unit: 0.011

---

S.
A geometry-optimized SiTcPO structure. Source: the Open Quantum Materials Database, functional GGA-PBE.

POSCAR file:
```
SiTcPO
1.0
3.568 0.000 0.000
0.000 3.568 0.000
0.000 0.000 9.385
Si Tc P O
2 2 2 2
direct
0.250 0.250 0.100
0.750 0.750 0.900
0.250 0.750 0.500
0.750 0.250 0.500
0.250 0.250 0.680
0.750 0.750 0.320
0.250 0.750 0.000
0.750 0.250 0.000
```

Summary:
Magnetic moment, μB per formula unit: 0.004

---

Relative energies with respect to the most stable structure, expressed in meV per atom: P 0; Q 429; R 888; S 444.